1.
Entry from Alexandria: an optimized crystal structure of Zr2BeF (PBE).

Values from the calculation:
* total magnetization: 0.0 μB/f.u.
* symmetry: Fm-3m (225)
* relative energy among the computed polymorphs: 0.000 eV/atom
* calculated total energy: -99.223 eV per cell
* formation energy from raw total energies: -0.5280 eV/atom
* calculated volume: 15.6 Å³ per atom

a = 6.2951 Å, b = 6.2951 Å, c = 6.2951 Å
α = 90.00°, β = 90.00°, γ = 90.00°
Fractional positions:
Zr 0.2500 0.2500 0.2500
Zr 0.2500 0.2500 0.7500
Zr 0.2500 0.7500 0.2500
Zr 0.2500 0.7500 0.7500
Zr 0.7500 0.2500 0.2500
Zr 0.7500 0.2500 0.7500
Zr 0.7500 0.7500 0.2500
Zr 0.7500 0.7500 0.7500
Be 0.0000 0.0000 0.0000
Be 0.0000 0.5000 0.5000
Be 0.5000 0.0000 0.5000
Be 0.5000 0.5000 0.0000
F 0.0000 0.0000 0.5000
F 0.0000 0.5000 0.0000
F 0.5000 0.0000 0.0000
F 0.5000 0.5000 0.5000



2.
Entry from Alexandria: an optimized crystal structure of ZrBeF2 (PBE).

Values from the calculation:
* total magnetization: 1.2 μB/f.u.
* symmetry: Fm-3m (225)
* relative energy among the computed polymorphs: 0.679 eV/atom
* calculated total energy: -79.947 eV per cell
* formation energy from raw total energies: -0.9924 eV/atom
* calculated volume: 12.5 Å³ per atom

a = 5.8424 Å, b = 5.8424 Å, c = 5.8424 Å
α = 90.00°, β = 90.00°, γ = 90.00°
Fractional positions:
Zr 0.0000 0.0000 0.0000
Zr 0.0000 0.5000 0.5000
Zr 0.5000 0.0000 0.5000
Zr 0.5000 0.5000 0.0000
Be 0.0000 0.0000 0.5000
Be 0.0000 0.5000 0.0000
Be 0.5000 0.0000 0.0000
Be 0.5000 0.5000 0.5000
F 0.2500 0.2500 0.2500
F 0.2500 0.2500 0.7500
F 0.2500 0.7500 0.2500
F 0.2500 0.7500 0.7500
F 0.7500 0.2500 0.2500
F 0.7500 0.2500 0.7500
F 0.7500 0.7500 0.2500
F 0.7500 0.7500 0.7500



3.
Entry from Alexandria: an optimized crystal structure of ZrBe3F (PBE).

Values from the calculation:
* total magnetization: 0.0 μB/f.u.
* symmetry: Pm-3m (221)
* relative energy among the computed polymorphs: 1.640 eV/atom
* calculated total energy: -13.370 eV per cell
* formation energy from raw total energies: 1.6457 eV/atom
* calculated volume: 25.6 Å³ per atom

a = 5.0393 Å, b = 5.0393 Å, c = 5.0393 Å
α = 90.00°, β = 90.00°, γ = 90.00°
Fractional positions:
Zr 0.0000 0.0000 0.0000
Be 0.0000 0.0000 0.5000
Be 0.0000 0.5000 0.0000
Be 0.5000 0.0000 0.0000
F 0.5000 0.5000 0.5000



4.
Entry from Alexandria: an optimized crystal structure of Zr2BeF (PBE).

Values from the calculation:
* total magnetization: 0.0 μB/f.u.
* symmetry: I-42d (122)
* relative energy among the computed polymorphs: 0.121 eV/atom
* calculated total energy: -97.283 eV per cell
* formation energy from raw total energies: -0.4067 eV/atom
* calculated volume: 18.4 Å³ per atom

a = 4.9547 Å, b = 4.9547 Å, c = 11.9974 Å
α = 90.00°, β = 90.00°, γ = 90.00°
Fractional positions:
Zr 0.2305 0.2500 0.1250
Zr 0.2500 0.7305 0.3750
Zr 0.2500 0.7695 0.8750
Zr 0.2695 0.2500 0.6250
Zr 0.7305 0.7500 0.6250
Zr 0.7500 0.2305 0.8750
Zr 0.7500 0.2695 0.3750
Zr 0.7695 0.7500 0.1250
Be 0.0000 0.0000 0.5000
Be 0.0000 0.5000 0.7500
Be 0.5000 0.0000 0.2500
Be 0.5000 0.5000 0.0000
F 0.0000 0.0000 0.0000
F 0.0000 0.5000 0.2500
F 0.5000 0.0000 0.7500
F 0.5000 0.5000 0.5000



5.
Entry from Alexandria: an optimized crystal structure of ZrBeF2 (PBE).

Values from the calculation:
* total magnetization: 0.0 μB/f.u.
* symmetry: I4_1/amd (141)
* relative energy among the computed polymorphs: 0.356 eV/atom
* calculated total energy: -85.116 eV per cell
* formation energy from raw total energies: -1.3155 eV/atom
* calculated volume: 13.7 Å³ per atom

a = 5.3583 Å, b = 5.3583 Å, c = 7.6451 Å
α = 90.00°, β = 90.00°, γ = 90.00°
Fractional positions:
Zr 0.0000 0.2500 0.3750
Zr 0.0000 0.7500 0.6250
Zr 0.5000 0.2500 0.1250
Zr 0.5000 0.7500 0.8750
Be 0.0000 0.2500 0.8750
Be 0.0000 0.7500 0.1250
Be 0.5000 0.2500 0.6250
Be 0.5000 0.7500 0.3750
F 0.0000 0.0000 0.0000
F 0.0000 0.5000 0.0000
F 0.2500 0.2500 0.7500
F 0.2500 0.7500 0.2500
F 0.5000 0.0000 0.5000
F 0.5000 0.5000 0.5000
F 0.7500 0.2500 0.7500
F 0.7500 0.7500 0.2500



6.
Entry from Alexandria: an optimized crystal structure of ZrBe2F (PBE).

Values from the calculation:
* total magnetization: 0.0 μB/f.u.
* symmetry: Fm-3m (225)
* relative energy among the computed polymorphs: 0.488 eV/atom
* calculated total energy: -66.746 eV per cell
* formation energy from raw total energies: 0.2964 eV/atom
* calculated volume: 13.7 Å³ per atom

a = 6.0362 Å, b = 6.0362 Å, c = 6.0362 Å
α = 90.00°, β = 90.00°, γ = 90.00°
Fractional positions:
Zr 0.0000 0.0000 0.0000
Zr 0.0000 0.5000 0.5000
Zr 0.5000 0.0000 0.5000
Zr 0.5000 0.5000 0.0000
Be 0.2500 0.2500 0.2500
Be 0.2500 0.2500 0.7500
Be 0.2500 0.7500 0.2500
Be 0.2500 0.7500 0.7500
Be 0.7500 0.2500 0.2500
Be 0.7500 0.2500 0.7500
Be 0.7500 0.7500 0.2500
Be 0.7500 0.7500 0.7500
F 0.0000 0.0000 0.5000
F 0.0000 0.5000 0.0000
F 0.5000 0.0000 0.0000
F 0.5000 0.5000 0.5000



7.
Entry from Alexandria: an optimized crystal structure of ZrBeF2 (PBE).

Values from the calculation:
* total magnetization: 0.0 μB/f.u.
* symmetry: R-3m (166)
* relative energy among the computed polymorphs: 0.124 eV/atom
* calculated total energy: -66.615 eV per cell
* formation energy from raw total energies: -1.5470 eV/atom
* calculated volume: 13.1 Å³ per atom

a = 2.8979 Å, b = 2.8979 Å, c = 21.6625 Å
α = 90.00°, β = 90.00°, γ = 120.00°
Fractional positions:
Zr 0.0000 0.0000 0.0000
Zr 0.3333 0.6667 0.6667
Zr 0.6667 0.3333 0.3333
Be 0.0000 0.0000 0.5000
Be 0.3333 0.6667 0.1667
Be 0.6667 0.3333 0.8333
F 0.0000 0.0000 0.4078
F 0.0000 0.0000 0.5922
F 0.3333 0.6667 0.0744
F 0.3333 0.6667 0.2589
F 0.6667 0.3333 0.7411
F 0.6667 0.3333 0.9256



8.
Entry from Alexandria: an optimized crystal structure of ZrBeF3 (PBE).

Values from the calculation:
* total magnetization: 2.7 μB/f.u.
* symmetry: Pm-3m (221)
* relative energy among the computed polymorphs: 0.234 eV/atom
* calculated total energy: -25.973 eV per cell
* formation energy from raw total energies: -1.6169 eV/atom
* calculated volume: 11.5 Å³ per atom

a = 3.8557 Å, b = 3.8557 Å, c = 3.8557 Å
α = 90.00°, β = 90.00°, γ = 90.00°
Fractional positions:
Zr 0.0000 0.0000 0.0000
Be 0.5000 0.5000 0.5000
F 0.0000 0.5000 0.5000
F 0.5000 0.0000 0.5000
F 0.5000 0.5000 0.0000



9.
Entry from Alexandria: an optimized crystal structure of ZrBeF3 (PBE).

Values from the calculation:
* total magnetization: 1.0 μB/f.u.
* symmetry: Pm-3m (221)
* relative energy among the computed polymorphs: 0.000 eV/atom
* calculated total energy: -27.145 eV per cell
* formation energy from raw total energies: -1.8513 eV/atom
* calculated volume: 16.2 Å³ per atom

a = 4.3288 Å, b = 4.3288 Å, c = 4.3288 Å
α = 90.00°, β = 90.00°, γ = 90.00°
Fractional positions:
Zr 0.0000 0.0000 0.0000
Be 0.5000 0.5000 0.5000
F 0.0000 0.0000 0.5000
F 0.0000 0.5000 0.0000
F 0.5000 0.0000 0.0000



10.
Entry from Alexandria: an optimized crystal structure of ZrBeF2 (PBE).

Values from the calculation:
* total magnetization: 0.0 μB/f.u.
* symmetry: R-3m (166)
* relative energy among the computed polymorphs: 0.000 eV/atom
* calculated total energy: -68.105 eV per cell
* formation energy from raw total energies: -1.6712 eV/atom
* calculated volume: 14.3 Å³ per atom

a = 2.7795 Å, b = 2.7795 Å, c = 25.6007 Å
α = 90.00°, β = 90.00°, γ = 120.00°
Fractional positions:
Zr 0.0000 0.0000 0.0000
Zr 0.3333 0.6667 0.6667
Zr 0.6667 0.3333 0.3333
Be 0.0000 0.0000 0.5000
Be 0.3333 0.6667 0.1667
Be 0.6667 0.3333 0.8333
F 0.0000 0.0000 0.1329
F 0.0000 0.0000 0.8671
F 0.3333 0.6667 0.5338
F 0.3333 0.6667 0.7995
F 0.6667 0.3333 0.2005
F 0.6667 0.3333 0.4662



11.
Entry from Alexandria: an optimized crystal structure of ZrBe2F (PBE).

Values from the calculation:
* total magnetization: 1.4 μB/f.u.
* symmetry: I-42d (122)
* relative energy among the computed polymorphs: 0.000 eV/atom
* calculated total energy: -74.553 eV per cell
* formation energy from raw total energies: -0.1916 eV/atom
* calculated volume: 14.1 Å³ per atom

a = 5.5094 Å, b = 5.5094 Å, c = 7.4455 Å
α = 90.00°, β = 90.00°, γ = 90.00°
Fractional positions:
Zr 0.0000 0.0000 0.0000
Zr 0.0000 0.5000 0.2500
Zr 0.5000 0.0000 0.7500
Zr 0.5000 0.5000 0.5000
Be 0.0923 0.7500 0.6250
Be 0.2500 0.0923 0.3750
Be 0.2500 0.4077 0.8750
Be 0.4077 0.7500 0.1250
Be 0.5923 0.2500 0.1250
Be 0.7500 0.5923 0.8750
Be 0.7500 0.9077 0.3750
Be 0.9077 0.2500 0.6250
F 0.0000 0.0000 0.5000
F 0.0000 0.5000 0.7500
F 0.5000 0.0000 0.2500
F 0.5000 0.5000 0.0000



12.
Entry from Alexandria: an optimized crystal structure of ZrBe3F (PBE).

Values from the calculation:
* total magnetization: 0.0 μB/f.u.
* symmetry: Pm-3m (221)
* relative energy among the computed polymorphs: 0.000 eV/atom
* calculated total energy: -21.571 eV per cell
* formation energy from raw total energies: 0.0054 eV/atom
* calculated volume: 12.6 Å³ per atom

a = 3.9764 Å, b = 3.9764 Å, c = 3.9764 Å
α = 90.00°, β = 90.00°, γ = 90.00°
Fractional positions:
Zr 0.0000 0.0000 0.0000
Be 0.0000 0.5000 0.5000
Be 0.5000 0.0000 0.5000
Be 0.5000 0.5000 0.0000
F 0.5000 0.5000 0.5000



Which of these has the highest calculated total energy? number 3